VASP calculation (PBE) on an optimized crystal structure of AcPm2Sm4Er.

```
data_AcPm2Sm4Er
_chemical_formula_sum 'Ac1 Pm2 Sm4 Er1'
_symmetry_space_group_name_H-M 'P 4/m m m'
_symmetry_Int_Tables_number 123
_symmetry_space_group_name_Hall '-P 4 2'
_cell_length_a 5.174
_cell_length_b 5.174
_cell_length_c 10.385
_cell_angle_alpha 90.00
_cell_angle_beta 90.00
_cell_angle_gamma 90.00
loop_
_atom_site_label
_atom_site_fract_x
_atom_site_fract_y
_atom_site_fract_z
Ac1 0.000 0.000 0.000
Pm1 0.000 0.000 0.500
Pm2 0.500 0.500 0.000
Sm1 0.000 0.500 0.258
Er1 0.500 0.500 0.500
```

Calculated values
Uncorrected energy in eV per atom: -4.60
ΔE_f in eV/atom: 0.0266